! NbVGa2 | the Alexandria database | PBE-GGA | relaxed; values from VASP
&SYSTEM
  ibrav = 0, nat = 4, ntyp = 3
/
ATOMIC_SPECIES
Nb 92.91 Nb.upf
V 50.94 V.upf
Ga 69.72 Ga.upf
CELL_PARAMETERS angstrom
-1.027 -0.865 -2.551
-1.873 -2.187 -0.133
-7.733 4.730 -0.121
ATOMIC_POSITIONS crystal
Nb 0.666 0.666 0.001
V 0.500 0.500 0.499
Ga 0.087 0.087 0.739
Ga 0.246 0.246 0.261
! space-group type = No. 160
! formation energy = -104.3 meV/atom
! energy = -6.41 eV/atom